CoTeOF2: relaxed, PBE+U.

a b c (Å): 4.676 4.676 4.090
angles (deg): 90.00 90.00 90.00
Positions (direct):
Co 0.000 0.000 0.000
Te 0.500 0.500 0.500
O 0.500 0.500 0.000
F 0.000 0.500 0.500
F 0.500 0.000 0.500

Properties
* M_tot: 3.36 μB/cell
* total energy: -3.84 eV/atom